The following is a DFT calculation (GGA-PBE) of InBP2S after structural relaxation.

Uncorrected formation energy   1.89 eV per atom
VASP energy   -14.9 eV for the cell shown
Size of the total moment   1.2 μB per formula unit
V   27.761 A^3/atom

a = 5.171 Å, b = 5.171 Å, c = 5.192 Å
α = 90.00°, β = 90.00°, γ = 90.00°
Sites, in units of the cell vectors:
P: 0.000 0.500 0.000
S: 0.000 0.000 0.500
B: 0.500 0.500 0.500
In: 0.000 0.000 0.000
P: 0.500 0.000 0.000


The following is a DFT calculation (GGA-PBE) of ScInBP2 after structural relaxation.

VASP energy   -20.4 eV for the cell shown
ΔH_f (0 K)   1.23 eV/atom
Size of the total moment   0.0 μB per formula unit
V   26.966 A^3/atom

a = 4.866 Å, b = 5.695 Å, c = 4.866 Å
α = 90.00°, β = 90.00°, γ = 90.00°
Sites, in units of the cell vectors:
P: 0.000 0.000 0.500
Sc: 0.000 0.000 0.000
B: 0.500 0.500 0.500
P: 0.500 0.000 0.000
In: 0.000 0.500 0.000


The following is a DFT calculation (GGA-PBE) of InB2PSe after structural relaxation.

Uncorrected formation energy   1.03 eV per atom
VASP energy   -19.8 eV for the cell shown
Size of the total moment   0.0 μB per formula unit
V   16.665 A^3/atom

a = 3.968 Å, b = 5.293 Å, c = 3.968 Å
α = 90.00°, β = 90.00°, γ = 90.00°
Sites, in units of the cell vectors:
Se: 0.000 0.500 0.000
B: 0.000 0.000 0.500
B: 0.500 0.000 0.000
P: 0.000 0.000 0.000
In: 0.500 0.500 0.500


The following is a DFT calculation (GGA-PBE) of In2TcBP after structural relaxation.

VASP energy   -23.1 eV for the cell shown
ΔH_f (0 K)   0.96 eV/atom
Size of the total moment   1.5 μB per formula unit
V   22.141 A^3/atom

a = 5.280 Å, b = 3.971 Å, c = 5.280 Å
α = 90.00°, β = 90.00°, γ = 90.00°
Sites, in units of the cell vectors:
Tc: 0.000 0.000 0.000
In: 0.000 0.000 0.500
B: 0.000 0.500 0.000
In: 0.500 0.000 0.000
P: 0.500 0.500 0.500


The following is a DFT calculation (GGA-PBE) of InTc2BP after structural relaxation.

VASP energy   -20.2 eV for the cell shown
ΔH_f (0 K)   3.07 eV/atom
Size of the total moment   7.2 μB per formula unit
V   35.039 A^3/atom

a = 5.788 Å, b = 5.788 Å, c = 5.230 Å
α = 90.00°, β = 90.00°, γ = 90.00°
Sites, in units of the cell vectors:
Tc: 0.000 0.500 0.000
B: 0.500 0.500 0.500
In: 0.000 0.000 0.000
Tc: 0.500 0.000 0.000
P: 0.000 0.000 0.500


The following is a DFT calculation (GGA-PBE) of InB2PW after structural relaxation.

VASP energy   -21.7 eV for the cell shown
ΔH_f (0 K)   2.55 eV/atom
Size of the total moment   0.0 μB per formula unit
V   17.929 A^3/atom

a = 4.088 Å, b = 5.363 Å, c = 4.088 Å
α = 90.00°, β = 90.00°, γ = 90.00°
Sites, in units of the cell vectors:
B: 0.000 0.000 0.500
B: 0.500 0.000 0.000
W: 0.500 0.500 0.500
In: 0.000 0.000 0.000
P: 0.000 0.500 0.000


The following is a DFT calculation (GGA-PBE) of Pa2InB after structural relaxation.

VASP energy   -27.9 eV for the cell shown
ΔH_f (0 K)   0.12 eV/atom
Size of the total moment   0.5 μB per formula unit
V   23.887 A^3/atom

a = 3.354 Å, b = 3.354 Å, c = 10.000 Å
α = 80.35°, β = 80.35°, γ = 60.00°
Sites, in units of the cell vectors:
In: 0.000 0.000 0.000
Pa: 0.886 0.886 0.343
Pa: 0.114 0.114 0.657
B: 0.500 0.500 0.500


The following is a DFT calculation (GGA-PBE) of PaInB after structural relaxation.

VASP energy   -39.1 eV for the cell shown
ΔH_f (0 K)   -0.21 eV/atom
Size of the total moment   0.3 μB per formula unit
V   20.516 A^3/atom

a = 3.138 Å, b = 3.486 Å, c = 11.387 Å
α = 81.19°, β = 90.00°, γ = 90.00°
Sites, in units of the cell vectors:
Pa: 0.250 0.929 0.141
B: 0.250 0.517 0.966
B: 0.750 0.483 0.034
Pa: 0.750 0.071 0.859
In: 0.750 0.700 0.600
In: 0.250 0.300 0.400


The following is a DFT calculation (GGA-PBE) of Pa2InB2Ru5 after structural relaxation.

VASP energy   -174.1 eV for the cell shown
ΔH_f (0 K)   -0.56 eV/atom
Size of the total moment   0.0 μB per formula unit
V   15.181 A^3/atom

a = 3.261 Å, b = 9.649 Å, c = 9.649 Å
α = 90.00°, β = 90.00°, γ = 90.00°
Sites, in units of the cell vectors:
Ru: 0.500 0.000 0.500
Ru: 0.500 0.427 0.275
Pa: 0.000 0.324 0.824
B: 0.000 0.121 0.621
Ru: 0.500 0.775 0.927
B: 0.000 0.379 0.121
Pa: 0.000 0.176 0.324
Ru: 0.500 0.225 0.073
Ru: 0.500 0.927 0.225
Ru: 0.500 0.073 0.775
B: 0.000 0.621 0.879
Pa: 0.000 0.824 0.676
Pa: 0.000 0.676 0.176
Ru: 0.500 0.500 0.000
In: 0.000 0.500 0.500
In: 0.000 0.000 0.000
B: 0.000 0.879 0.379
Ru: 0.500 0.275 0.573
Ru: 0.500 0.573 0.725
Ru: 0.500 0.725 0.427


The following is a DFT calculation (GGA-PBE) of InB2Pb2 after structural relaxation.

VASP energy   -38.8 eV for the cell shown
ΔH_f (0 K)   0.82 eV/atom
Size of the total moment   0.0 μB per formula unit
V   20.422 A^3/atom

a = 6.762 Å, b = 6.762 Å, c = 4.466 Å
α = 90.00°, β = 90.00°, γ = 90.00°
Sites, in units of the cell vectors:
Pb: 0.688 0.812 0.500
B: 0.585 0.085 0.000
B: 0.415 0.915 0.000
In: 0.000 0.000 0.000
Pb: 0.812 0.312 0.500
B: 0.915 0.585 0.000
Pb: 0.188 0.688 0.500
B: 0.085 0.415 0.000
Pb: 0.312 0.188 0.500
In: 0.500 0.500 0.000


The following is a DFT calculation (GGA-PBE) of In2BPb after structural relaxation.

VASP energy   -12.0 eV for the cell shown
ΔH_f (0 K)   0.97 eV/atom
Size of the total moment   0.0 μB per formula unit
V   24.089 A^3/atom

a = 5.146 Å, b = 5.146 Å, c = 5.146 Å
α = 60.00°, β = 60.00°, γ = 60.00°
Sites, in units of the cell vectors:
B: 0.000 0.000 0.000
In: 0.250 0.250 0.250
Pb: 0.500 0.500 0.500
In: 0.750 0.750 0.750


The following is a DFT calculation (GGA-PBE) of InB2Pb2 after structural relaxation.

VASP energy   -19.1 eV for the cell shown
ΔH_f (0 K)   0.88 eV/atom
Size of the total moment   0.0 μB per formula unit
V   21.033 A^3/atom

a = 4.779 Å, b = 4.779 Å, c = 5.711 Å
α = 65.27°, β = 65.27°, γ = 90.00°
Sites, in units of the cell vectors:
B: 0.590 0.590 0.820
B: 0.410 0.410 0.180
In: 0.000 0.000 0.000
Pb: 0.250 0.750 0.500
Pb: 0.750 0.250 0.500


The following is a DFT calculation (GGA-PBE) of In2BPb after structural relaxation.

VASP energy   -27.0 eV for the cell shown
ΔH_f (0 K)   0.59 eV/atom
Size of the total moment   0.0 μB per formula unit
V   26.801 A^3/atom

a = 6.800 Å, b = 6.800 Å, c = 6.680 Å
α = 59.40°, β = 59.40°, γ = 90.00°
Sites, in units of the cell vectors:
B: 0.250 0.750 0.500
B: 0.500 0.500 0.000
In: 0.241 0.625 0.250
Pb: 0.750 0.250 0.500
Pb: 0.000 0.000 0.000
In: 0.875 0.759 0.750
In: 0.375 0.491 0.750
In: 0.509 0.125 0.250


The following is a DFT calculation (GGA-PBE) of In2BPtPb after structural relaxation.

VASP energy   -14.0 eV for the cell shown
ΔH_f (0 K)   1.57 eV/atom
Size of the total moment   0.0 μB per formula unit
V   35.013 A^3/atom

a = 5.849 Å, b = 5.117 Å, c = 5.849 Å
α = 90.00°, β = 90.00°, γ = 90.00°
Sites, in units of the cell vectors:
B: 0.500 0.500 0.500
In: 0.000 0.000 0.500
In: 0.500 0.000 0.000
Pb: 0.000 0.000 0.000
Pt: 0.000 0.500 0.000


The following is a DFT calculation (GGA-PBE) of InB2Pt7Pb2 after structural relaxation.

VASP energy   -69.0 eV for the cell shown
ΔH_f (0 K)   -0.27 eV/atom
Size of the total moment   0.0 μB per formula unit
V   17.557 A^3/atom

a = 4.012 Å, b = 4.012 Å, c = 14.026 Å
α = 75.24°, β = 75.24°, γ = 89.81°
Sites, in units of the cell vectors:
B: 0.312 0.312 0.220
Pt: 0.870 0.369 0.162
Pb: 0.169 0.169 0.589
Pt: 0.130 0.631 0.838
Pt: 0.623 0.623 0.644
Pt: 0.500 0.500 0.000
In: 0.000 0.000 0.000
B: 0.688 0.688 0.780
Pt: 0.631 0.130 0.838
Pb: 0.831 0.831 0.411
Pt: 0.369 0.870 0.162
Pt: 0.377 0.377 0.356


The following is a DFT calculation (GGA-PBE) of InBRh4Pb after structural relaxation.

VASP energy   -87.6 eV for the cell shown
ΔH_f (0 K)   -0.18 eV/atom
Size of the total moment   0.0 μB per formula unit
V   16.648 A^3/atom

a = 5.844 Å, b = 5.845 Å, c = 7.423 Å
α = 90.00°, β = 113.18°, γ = 90.00°
Sites, in units of the cell vectors:
Rh: 0.000 0.000 0.500
In: 0.606 0.750 0.211
B: 0.253 0.750 0.506
Pb: 0.102 0.250 0.204
Rh: 0.406 0.750 0.812
Rh: 0.901 0.250 0.803
Rh: 0.500 0.500 0.500
Rh: 0.099 0.750 0.197
In: 0.394 0.250 0.789
Rh: 0.500 0.000 0.500
Rh: 0.000 0.500 0.500
Pb: 0.898 0.750 0.796
B: 0.747 0.250 0.494
Rh: 0.594 0.250 0.188


The following is a DFT calculation (GGA-PBE) of InBRu2Pb after structural relaxation.

VASP energy   -21.9 eV for the cell shown
ΔH_f (0 K)   1.96 eV/atom
Size of the total moment   0.2 μB per formula unit
V   21.549 A^3/atom

a = 5.097 Å, b = 4.148 Å, c = 5.097 Å
α = 90.00°, β = 90.00°, γ = 90.00°
Sites, in units of the cell vectors:
Ru: 0.000 0.000 0.500
In: 0.500 0.500 0.500
Ru: 0.500 0.000 0.000
Pb: 0.000 0.000 0.000
B: 0.000 0.500 0.000


The following is a DFT calculation (GGA-PBE) of InBPbS2 after structural relaxation.

Uncorrected formation energy   0.44 eV per atom
VASP energy   -19.2 eV for the cell shown
Size of the total moment   0.0 μB per formula unit
V   20.172 A^3/atom

a = 4.797 Å, b = 4.383 Å, c = 4.797 Å
α = 90.00°, β = 90.00°, γ = 90.00°
Sites, in units of the cell vectors:
S: 0.000 0.000 0.500
In: 0.000 0.500 0.000
Pb: 0.500 0.500 0.500
S: 0.500 0.000 0.000
B: 0.000 0.000 0.000


The following is a DFT calculation (GGA-PBE) of InBPb2S5 after structural relaxation.

Uncorrected formation energy   -0.43 eV per atom
VASP energy   -82.6 eV for the cell shown
Size of the total moment   0.0 μB per formula unit
V   22.788 A^3/atom

a = 3.715 Å, b = 8.953 Å, c = 12.608 Å
α = 90.00°, β = 90.00°, γ = 101.97°
Sites, in units of the cell vectors:
In: 0.812 0.624 0.537
S: 0.304 0.609 0.682
S: 0.495 0.991 0.281
B: 0.440 0.881 0.407
Pb: 0.137 0.274 0.678
In: 0.188 0.376 0.037
B: 0.560 0.119 0.907
S: 0.336 0.673 0.015
Pb: 0.889 0.778 0.840
S: 0.696 0.391 0.182
S: 0.333 0.665 0.388
Pb: 0.863 0.726 0.178
S: 0.664 0.327 0.515
S: 0.505 0.009 0.781
S: 0.965 0.929 0.496
S: 0.667 0.335 0.888
S: 0.035 0.071 0.996
Pb: 0.111 0.222 0.340


The following is a DFT calculation (GGA-PBE) of Ta2InBPb after structural relaxation.

VASP energy   -25.5 eV for the cell shown
ΔH_f (0 K)   2.27 eV/atom
Size of the total moment   0.0 μB per formula unit
V   23.357 A^3/atom

a = 5.343 Å, b = 4.092 Å, c = 5.343 Å
α = 90.00°, β = 90.00°, γ = 90.00°
Sites, in units of the cell vectors:
Pb: 0.000 0.000 0.000
Ta: 0.500 0.000 0.000
Ta: 0.000 0.000 0.500
In: 0.500 0.500 0.500
B: 0.000 0.500 0.000